*P*
Here is an optimized crystal structure of TcIrPt2 from Alexandria via LeMat-Bulk. Energies are from GGA-PBEsol.

Summary:
Density of states at the Fermi level in states/eV/atom: 0.947
Calculated volume in A^3/atom: 14.48
Symmetry: R3m (160)

a b c (Å): 2.7214 2.7214 9.1633
angles (deg): 81.46 81.46 60.00
Last column: nearest neighbours and their distance in Å.
Positions (direct):
Ir  0.2460  0.2460  0.2619  3 Tc 2.62, 6 Ir 2.72, 3 Pt 2.81
Tc  0.5020  0.5020  0.4939  3 Ir 2.62, 6 Tc 2.72, 3 Pt 2.73
Pt  0.9989  0.9989  0.0032  9 Pt 2.72-2.84, 3 Ir 2.81
Pt  0.7530  0.7530  0.7410  9 Pt 2.72-2.84, 3 Tc 2.73

*Q*
Here is an optimized crystal structure of TcIrPt2 from Alexandria via LeMat-Bulk. Energies are from GGA-PBEsol.

Summary:
Density of states at the Fermi level in states/eV/atom: 1.130
Calculated volume in A^3/atom: 14.39
Symmetry: I4/mmm (139)

a b c (Å): 3.8278 3.8278 4.7715
angles (deg): 113.65 113.65 90.00
Last column: nearest neighbours and their distance in Å.
Positions (direct):
Pt  0.7500  0.2500  0.5000  4 Pt 2.71, 4 Tc 2.74, 4 Ir 2.74
Pt  0.2500  0.7500  0.5000  4 Pt 2.71, 4 Tc 2.74, 4 Ir 2.74
Ir  0.0000  0.0000  0.0000  4 Tc 2.71, 8 Pt 2.74
Tc  0.5000  0.5000  0.0000  4 Ir 2.71, 8 Pt 2.74

Question: which arrangement is favored energetically? Ranking from most to least stable: *P*, *Q*.